A plane-wave DFT calculation with GGA-PBE was carried out for a relaxed Rb3TlAg4 crystal.

**Energy**: -2.05 eV per atom
**Crystal system**: orthorhombic
**Formation enthalpy at 0 K**: 25 kJ/mol of formula units

a = 7.057 Å, b = 7.296 Å, c = 7.296 Å
α = 64.56°, β = 61.08°, γ = 61.08°
Atoms (fractional coordinates):
Tl 0.021 0.479 0.479
Ag 0.770 0.916 0.545
Ag 0.770 0.545 0.916
Ag 0.896 0.298 0.298
Ag 0.508 0.298 0.298
Rb 0.415 0.828 0.342
Rb 0.055 0.945 0.945
Rb 0.415 0.342 0.828



A plane-wave DFT calculation with GGA-PBE was carried out for a relaxed GeSF3 crystal.

**Energy above the lowest structure with this stoichiometry**: 1159 meV/atom
**Energy**: -3.25 eV per atom
**ΔE_f (raw)**: -0.380 eV per atom
**Crystal system**: cubic

a = 4.312 Å, b = 4.312 Å, c = 4.312 Å
α = 90.00°, β = 90.00°, γ = 90.00°
Atoms (fractional coordinates):
Ge 0.500 0.500 0.500
S 0.000 0.000 0.000
F 0.000 0.500 0.000
F 0.000 0.000 0.500
F 0.500 0.000 0.000



A plane-wave DFT calculation with GGA-PBE was carried out for a relaxed AcTh2Os crystal.

**Energy above the lowest structure with this stoichiometry**: 0 meV/atom
**Energy**: -7.67 eV per atom
**Crystal system**: trigonal
**Formation enthalpy at 0 K**: -50 kJ/mol of formula units

a = 4.148 Å, b = 4.148 Å, c = 9.612 Å
α = 77.54°, β = 77.54°, γ = 60.00°
Atoms (fractional coordinates):
Ac 0.502 0.502 0.495
Th 0.054 0.054 0.839
Th 0.279 0.279 0.163
Os 0.666 0.666 0.003



A plane-wave DFT calculation with GGA-PBE was carried out for a relaxed Er6AgRu crystal.

**Energy above the lowest structure with this stoichiometry**: 106 meV/atom
**Energy**: -4.99 eV per atom
**Crystal system**: monoclinic
**Formation enthalpy at 0 K**: -38 kJ/mol of formula units

a = 6.647 Å, b = 6.834 Å, c = 6.493 Å
α = 58.24°, β = 79.39°, γ = 69.52°
Atoms (fractional coordinates):
Er 0.740 0.459 0.633
Er 0.740 0.092 0.367
Er 0.260 0.908 0.633
Er 0.260 0.541 0.367
Er 0.736 0.741 0.000
Er 0.264 0.259 0.000
Ag 0.000 0.000 0.000
Ru 0.500 0.500 0.000